! GGA-PBE LiAc3Ti2O9, relaxed; values from VASP
! Raw formation energy (eV/f.u.): -47.9
! DOS at the Fermi energy (states/eV per cell): 0.000
&SYSTEM
  ibrav = 0, nat = 15, ntyp = 4
/
ATOMIC_SPECIES
O 16.00 O.upf
Ac 227.00 Ac.upf
Ti 47.87 Ti.upf
Li 6.94 Li.upf
CELL_PARAMETERS angstrom
5.633 0.000 0.000
-2.816 4.878 0.000
0.000 0.000 6.936
ATOMIC_POSITIONS crystal
O 0.500 0.000 0.000
Ac 0.333 0.667 0.659
O 0.171 0.829 0.326
Ac 0.667 0.333 0.341
Ti 0.667 0.333 0.823
Ti 0.333 0.667 0.177
Ac 0.000 0.000 0.000
O 0.658 0.829 0.326
O 0.000 0.500 0.000
O 0.829 0.658 0.674
O 0.342 0.171 0.674
Li 0.000 0.000 0.500
O 0.171 0.342 0.326
O 0.500 0.500 0.000
O 0.829 0.171 0.674

***

! GGA-PBE Li3Ac3TiO8, relaxed; values from VASP
! Raw formation energy (eV/f.u.): -39.6
! DOS at the Fermi energy (states/eV per cell): 0.000
&SYSTEM
  ibrav = 0, nat = 15, ntyp = 4
/
ATOMIC_SPECIES
O 16.00 O.upf
Ac 227.00 Ac.upf
Ti 47.87 Ti.upf
Li 6.94 Li.upf
CELL_PARAMETERS angstrom
-3.123 -3.335 5.638
7.216 0.749 -0.230
-4.139 4.899 0.606
ATOMIC_POSITIONS crystal
O 0.252 0.504 0.256
O 0.199 0.986 0.273
Ac 0.000 0.500 0.500
Ti 0.000 0.000 0.500
O 0.748 0.496 0.744
O 0.787 0.986 0.273
O 0.213 0.425 0.727
O 0.213 0.014 0.727
Li 0.500 0.500 0.000
Li 0.000 0.000 0.000
O 0.801 0.014 0.727
O 0.787 0.575 0.273
Li 0.000 0.500 0.000
Ac 0.500 0.500 0.500
Ac 0.500 0.000 0.500

***

! GGA-PBE Li2Ac3TiO9, relaxed; values from VASP
! Raw formation energy (eV/f.u.): -38.8
! DOS at the Fermi energy (states/eV per cell): 10.017
&SYSTEM
  ibrav = 0, nat = 15, ntyp = 4
/
ATOMIC_SPECIES
O 16.00 O.upf
Ti 47.87 Ti.upf
Ac 227.00 Ac.upf
Li 6.94 Li.upf
CELL_PARAMETERS angstrom
-4.407 2.827 1.930
2.018 -4.330 2.884
4.241 4.265 3.434
ATOMIC_POSITIONS crystal
O 0.326 0.163 0.663
O 0.837 0.163 0.663
O 0.163 0.837 0.337
Ti 0.000 0.000 0.500
O 0.500 0.500 0.000
Ac 0.333 0.667 0.684
Li 0.667 0.333 0.817
O 0.500 0.000 0.000
O 0.163 0.326 0.337
Ac 0.000 0.000 0.000
O 0.837 0.674 0.663
Ac 0.667 0.333 0.316
Li 0.333 0.667 0.183
O 0.674 0.837 0.337
O 0.000 0.500 0.000

***

! GGA-PBE Li2Ac2TiO6, relaxed; values from VASP
! Raw formation energy (eV/f.u.): -30.7
! DOS at the Fermi energy (states/eV per cell): 0.000
&SYSTEM
  ibrav = 0, nat = 11, ntyp = 4
/
ATOMIC_SPECIES
Li 6.94 Li.upf
O 16.00 O.upf
Ac 227.00 Ac.upf
Ti 47.87 Ti.upf
CELL_PARAMETERS angstrom
-0.362 -2.297 5.222
4.756 -1.430 2.830
1.633 3.259 4.675
ATOMIC_POSITIONS crystal
Li 0.569 0.569 0.294
O 0.239 0.239 0.751
O 0.761 0.228 0.249
Li 0.431 0.431 0.706
Ac 0.227 0.227 0.318
O 0.772 0.239 0.751
O 0.761 0.761 0.249
O 0.239 0.772 0.751
Ti 0.000 0.000 0.000
O 0.228 0.761 0.249
Ac 0.773 0.773 0.682

***

! GGA-PBE LiAc2TiO6, relaxed; values from VASP
! Raw formation energy (eV/f.u.): -29.1
! DOS at the Fermi energy (states/eV per cell): 16.408
&SYSTEM
  ibrav = 0, nat = 20, ntyp = 4
/
ATOMIC_SPECIES
Ac 227.00 Ac.upf
Li 6.94 Li.upf
O 16.00 O.upf
Ti 47.87 Ti.upf
CELL_PARAMETERS angstrom
5.782 0.000 -0.005
0.000 5.571 0.000
0.045 0.000 8.019
ATOMIC_POSITIONS crystal
Ac 0.496 0.499 0.252
Li 0.500 0.000 0.500
O 0.573 0.001 0.240
Ac 0.004 0.999 0.248
O 0.762 0.746 0.540
O 0.927 0.501 0.260
O 0.073 0.499 0.740
O 0.427 0.999 0.760
O 0.240 0.743 0.460
Ac 0.504 0.501 0.748
O 0.262 0.754 0.040
Ac 0.996 0.001 0.752
O 0.740 0.757 0.960
Ti 0.000 0.500 0.500
O 0.260 0.243 0.040
O 0.238 0.254 0.460
O 0.738 0.246 0.960
Li 0.000 0.500 0.000
Ti 0.500 0.000 0.000
O 0.760 0.257 0.540

***

! GGA-PBE LiAcTiO4, relaxed; values from VASP
! Raw formation energy (eV/f.u.): -20.6
! DOS at the Fermi energy (states/eV per cell): 0.000
&SYSTEM
  ibrav = 0, nat = 14, ntyp = 4
/
ATOMIC_SPECIES
O 16.00 O.upf
Ti 47.87 Ti.upf
Li 6.94 Li.upf
Ac 227.00 Ac.upf
CELL_PARAMETERS angstrom
6.188 0.000 -0.102
0.000 5.742 0.000
-2.494 0.000 6.426
ATOMIC_POSITIONS crystal
O 0.490 0.750 0.602
Ti 0.702 0.250 0.671
O 0.918 0.488 0.761
O 0.082 0.988 0.239
O 0.452 0.750 0.145
O 0.082 0.512 0.239
O 0.510 0.250 0.398
O 0.918 0.012 0.761
Li 0.190 0.250 0.429
Li 0.810 0.750 0.571
Ti 0.298 0.750 0.329
Ac 0.743 0.750 0.980
O 0.548 0.250 0.855
Ac 0.257 0.250 0.020

***

! GGA-PBE Li3Ac2TlO6, relaxed; values from VASP
! Raw formation energy (eV/f.u.): -24.8
! DOS at the Fermi energy (states/eV per cell): 0.000
&SYSTEM
  ibrav = 0, nat = 12, ntyp = 4
/
ATOMIC_SPECIES
Li 6.94 Li.upf
O 16.00 O.upf
Tl 204.38 Tl.upf
Ac 227.00 Ac.upf
CELL_PARAMETERS angstrom
6.516 -0.353 0.206
-3.562 5.467 0.206
-0.816 -1.414 5.152
ATOMIC_POSITIONS crystal
Li 0.110 0.890 0.500
O 0.658 0.960 0.759
Li 0.500 0.500 0.500
Tl 0.000 0.000 0.000
O 0.040 0.342 0.241
O 0.280 0.280 0.742
Li 0.890 0.110 0.500
O 0.720 0.720 0.258
O 0.342 0.040 0.241
Ac 0.335 0.665 0.000
O 0.960 0.658 0.759
Ac 0.665 0.335 0.000

***

! GGA-PBE Li2AcTlO4, relaxed; values from VASP
! Raw formation energy (eV/f.u.): -15.5
! DOS at the Fermi energy (states/eV per cell): 0.000
&SYSTEM
  ibrav = 0, nat = 8, ntyp = 4
/
ATOMIC_SPECIES
O 16.00 O.upf
Li 6.94 Li.upf
Tl 204.38 Tl.upf
Ac 227.00 Ac.upf
CELL_PARAMETERS angstrom
5.602 0.000 0.000
2.801 4.522 0.357
2.801 0.727 4.478
ATOMIC_POSITIONS crystal
O 0.098 0.902 0.447
O 0.553 0.447 0.902
Li 0.250 0.250 0.250
Tl 0.500 0.500 0.500
O 0.447 0.098 0.553
Ac 0.000 0.000 0.000
Li 0.750 0.750 0.750
O 0.902 0.553 0.098